# 1
This record from the Alexandria database describes an optimized crystal structure of In2CuAg. The functional is PBE.

The structure in POSCAR format:
```
In2CuAg
1.0
-2.1186 2.1186 4.3878
2.1186 -2.1186 4.3878
2.1186 2.1186 -4.3878
In Cu Ag
2 1 1
Direct
0.0000 0.0000 0.0000 In
0.7500 0.2500 0.5000 In
0.5000 0.5000 0.0000 Cu
0.2500 0.7500 0.5000 Ag
```

Summary:
Space-group type = No. 119



# 2
This record from the Alexandria database describes an optimized crystal structure of InCuAg. The functional is PBE.

The structure in POSCAR format:
```
InCuAg
1.0
4.5435 0.0000 0.0000
-2.2718 3.9348 0.0000
0.0000 0.0000 3.0020
In Cu Ag
1 1 1
Direct
0.0000 0.0000 0.0000 In
0.3333 0.6667 0.8165 Cu
0.6667 0.3333 0.4372 Ag
```

Summary:
Space-group type = No. 156



# 3
This record from the Alexandria database describes an optimized crystal structure of In2CuAg. The functional is PBE.

The structure in POSCAR format:
```
In2CuAg
1.0
-1.5223 2.2453 5.9749
1.5223 -2.2453 5.9749
1.5223 2.2453 -5.9749
In Cu Ag
2 1 1
Direct
0.0000 0.0000 0.0000 In
0.7185 0.2185 0.5000 In
0.5186 0.5186 0.0000 Cu
0.3218 0.8218 0.5000 Ag
```

Summary:
Space-group type = No. 44



# 4
This record from the Alexandria database describes an optimized crystal structure of InCuAg. The functional is PBE.

The structure in POSCAR format:
```
InCuAg
1.0
0.0000 3.1051 3.1051
3.1051 0.0000 3.1051
3.1051 3.1051 0.0000
In Cu Ag
1 1 1
Direct
0.0000 0.0000 0.0000 In
0.2500 0.2500 0.2500 Cu
0.5000 0.5000 0.5000 Ag
```

Summary:
Space-group type = No. 216



# 5
This record from the Alexandria database describes an optimized crystal structure of InCuAg. The functional is PBE.

The structure in POSCAR format:
```
InCuAg
1.0
4.3666 -2.9000 0.0000
4.3666 2.9000 0.0000
-3.0153 0.0000 4.2534
In Cu Ag
2 2 2
Direct
0.1510 0.8490 0.5000 In
0.8490 0.1510 0.0000 In
0.6770 0.6840 0.9366 Cu
0.6840 0.6770 0.4366 Cu
0.2139 0.4837 0.8581 Ag
0.4837 0.2139 0.3581 Ag
```

Summary:
Space-group type = No. 9



# 6
This record from the Alexandria database describes an optimized crystal structure of In2CuAg2. The functional is PBE.

The structure in POSCAR format:
```
In2CuAg2
1.0
6.6267 -2.8993 0.0000
6.6267 2.8993 0.0000
-1.2195 0.0000 5.1236
In Cu Ag
4 2 4
Direct
0.0376 0.7472 0.9369 In
0.2528 0.9624 0.5631 In
0.7472 0.0376 0.4369 In
0.9624 0.2528 0.0631 In
0.4946 0.5054 0.2500 Cu
0.5054 0.4946 0.7500 Cu
0.1925 0.4534 0.3927 Ag
0.4534 0.1925 0.8927 Ag
0.5466 0.8075 0.1073 Ag
0.8075 0.5466 0.6073 Ag
```

Summary:
Space-group type = No. 15



# 7
This record from the Alexandria database describes an optimized crystal structure of In2Cu2Ag. The functional is PBE.

The structure in POSCAR format:
```
In2Cu2Ag
1.0
7.7773 0.0000 0.0000
0.0000 7.7773 0.0000
0.0000 0.0000 3.0245
In Cu Ag
4 4 2
Direct
0.1441 0.3559 0.0000 In
0.3559 0.8559 0.0000 In
0.6441 0.1441 0.0000 In
0.8559 0.6441 0.0000 In
0.1554 0.6554 0.5000 Cu
0.3446 0.1554 0.5000 Cu
0.6554 0.8446 0.5000 Cu
0.8446 0.3446 0.5000 Cu
0.0000 0.0000 0.0000 Ag
0.5000 0.5000 0.0000 Ag
```

Summary:
Space-group type = No. 127



# 8
This record from the Alexandria database describes an optimized crystal structure of InCuAg2. The functional is PBE.

The structure in POSCAR format:
```
InCuAg2
1.0
4.9679 -1.5433 0.0000
4.9679 1.5433 0.0000
-1.5491 0.0000 4.6207
In Cu Ag
1 1 2
Direct
0.0000 0.0000 0.0000 In
0.2600 0.2600 0.8054 Cu
0.5313 0.5313 0.5249 Ag
0.7692 0.7692 0.3077 Ag
```

Summary:
Space-group type = No. 8



# 9
This record from the Alexandria database describes an optimized crystal structure of InCuAg. The functional is PBE.

The structure in POSCAR format:
```
InCuAg
1.0
4.2121 0.0000 0.0000
0.0000 4.2643 0.0000
-2.0389 0.0000 5.8793
In Cu Ag
2 2 2
Direct
0.1050 0.2500 0.2046 In
0.8950 0.7500 0.7954 In
0.2515 0.7500 0.5015 Cu
0.7485 0.2500 0.4985 Cu
0.4040 0.2500 0.8157 Ag
0.5960 0.7500 0.1843 Ag
```

Summary:
Space-group type = No. 11



# 10
This record from the Alexandria database describes an optimized crystal structure of In4CuAg. The functional is PBE.

The structure in POSCAR format:
```
In4CuAg
1.0
0.0000 4.2478 4.2478
4.2478 0.0000 4.2478
4.2478 4.2478 0.0000
In Cu Ag
4 1 1
Direct
0.1251 0.1251 0.1251 In
0.1251 0.1251 0.6247 In
0.1251 0.6247 0.1251 In
0.6247 0.1251 0.1251 In
0.5000 0.5000 0.5000 Cu
0.7500 0.7500 0.7500 Ag
```

Summary:
Space-group type = No. 216



# 11
This record from the Alexandria database describes an optimized crystal structure of In2CuAg. The functional is PBE.

The structure in POSCAR format:
```
In2CuAg
1.0
3.3407 0.0000 0.0000
0.0000 3.3407 0.0000
0.0000 0.0000 7.3328
In Cu Ag
2 1 1
Direct
0.0000 0.0000 0.0000 In
0.5000 0.5000 0.3325 In
0.5000 0.5000 0.7787 Cu
0.0000 0.0000 0.5914 Ag
```

Summary:
Space-group type = No. 99



# 12
This record from the Alexandria database describes an optimized crystal structure of In2CuAg. The functional is PBE.

The structure in POSCAR format:
```
In2CuAg
1.0
0.0000 3.4117 3.4117
3.4117 0.0000 3.4117
3.4117 3.4117 0.0000
In Cu Ag
2 1 1
Direct
0.2500 0.2500 0.2500 In
0.7500 0.7500 0.7500 In
0.0000 0.0000 0.0000 Cu
0.5000 0.5000 0.5000 Ag
```

Summary:
Space-group type = No. 225



# 13
This record from the Alexandria database describes an optimized crystal structure of In3CuAg3. The functional is PBE.

The structure in POSCAR format:
```
In3CuAg3
1.0
8.5305 0.0000 0.0000
-4.2653 7.3876 0.0000
0.0000 0.0000 4.5673
In Cu Ag
6 2 6
Direct
0.1473 0.2945 0.2500 In
0.1473 0.8527 0.2500 In
0.2945 0.1473 0.7500 In
0.7055 0.8527 0.2500 In
0.8527 0.1473 0.7500 In
0.8527 0.7055 0.7500 In
0.3333 0.6667 0.2500 Cu
0.6667 0.3333 0.7500 Cu
0.1104 0.5552 0.7500 Ag
0.4448 0.5552 0.7500 Ag
0.4448 0.8896 0.7500 Ag
0.5552 0.1104 0.2500 Ag
0.5552 0.4448 0.2500 Ag
0.8896 0.4448 0.2500 Ag
```

Summary:
Space-group type = No. 194



# 14
This record from the Alexandria database describes an optimized crystal structure of InCuAg2. The functional is PBE.

The structure in POSCAR format:
```
InCuAg2
1.0
3.2843 0.0000 0.0000
0.0000 3.5236 0.0000
-0.0654 0.0000 6.1434
In Cu Ag
1 1 2
Direct
0.0000 0.0000 0.0000 In
0.4971 0.5000 0.2454 Cu
0.5011 0.5000 0.7230 Ag
0.9981 0.0000 0.4656 Ag
```

Summary:
Space-group type = No. 6



Number 1: E_form 47 kJ/mol of formula units. Number 2: E_form 32 kJ/mol of formula units. Number 3: E_form 22 kJ/mol of formula units. Number 4: E_form 32 kJ/mol of formula units. Number 5: E_form 9 kJ/mol of formula units. Number 6: E_form 19 kJ/mol of formula units. Number 7: E_form 85 kJ/mol of formula units. Number 8: E_form 20 kJ/mol of formula units. Number 9: E_form 15 kJ/mol of formula units. Number 10: E_form 266 kJ/mol of formula units. Number 11: E_form 38 kJ/mol of formula units. Number 12: E_form 50 kJ/mol of formula units. Number 13: E_form 26 kJ/mol of formula units. Number 14: E_form 23 kJ/mol of formula units.